(1)
First-principles (PBE) data for a relaxed Nb2Al3Zn3 crystal, as listed in Alexandria.

Calculated values
- DOS at the Fermi energy: 1.99 states/eV/cell
- Energy of formation: -0.294 eV/atom

abc: 4.0140 3.9660 7.8033
angles: 90.00 90.00 90.00
Last column: nearest neighbours and their distance in Å.
Atoms (fractional coordinates):
Nb  0.0000  0.0000  0.7458  6 Al 2.76-2.80, 6 Zn 2.82
Nb  0.0000  0.0000  0.2542  6 Al 2.76-2.80, 6 Zn 2.82
Al  0.5000  0.0000  0.5000  4 Nb 2.78, 4 Zn 2.79, 4 Al 2.82
Al  0.0000  0.5000  0.0000  8 Zn 2.79-2.82, 4 Nb 2.80
Al  0.0000  0.5000  0.5000  4 Nb 2.76, 4 Zn 2.81, 4 Al 2.82
Zn  0.5000  0.5000  0.7515  2 Zn 2.77, 6 Al 2.79-2.81, 4 Nb 2.82
Zn  0.5000  0.5000  0.2485  2 Zn 2.77, 6 Al 2.79-2.81, 4 Nb 2.82
Zn  0.5000  0.0000  0.0000  4 Zn 2.77, 4 Al 2.82, 4 Nb 2.82



(2)
First-principles (PBE) data for a relaxed NbAlZn crystal, as listed in Alexandria.

Calculated values
- DOS at the Fermi energy: 2.81 states/eV/cell
- Energy of formation: -0.322 eV/atom

abc: 5.0457 5.0457 8.3730
angles: 90.00 90.00 119.32
Last column: nearest neighbours and their distance in Å.
Atoms (fractional coordinates):
Nb  0.6649  0.3351  0.3157  7 Al 2.94-3.01, 5 Zn 2.98-3.00, 4 Nb 3.04-3.13
Nb  0.3367  0.6633  0.1915  5 Al 2.94-2.96, 7 Zn 2.98-3.01, 4 Nb 3.04-3.21
Nb  0.3367  0.6633  0.8085  5 Al 2.94-2.96, 7 Zn 2.98-3.01, 4 Nb 3.04-3.21
Nb  0.6649  0.3351  0.6843  7 Al 2.94-3.01, 5 Zn 2.98-3.00, 4 Nb 3.04-3.13
Al  0.0027  0.9973  0.2427  4 Zn 2.54-2.58, 2 Al 2.65
Al  0.0027  0.9973  0.7573  4 Zn 2.54-2.58, 2 Al 2.65
Al  0.6537  0.8332  0.5000  2 Zn 2.46-2.58, 4 Al 2.48-2.65
Al  0.1668  0.3463  0.5000  2 Zn 2.46-2.58, 4 Al 2.48-2.65
Zn  0.1663  0.8337  0.5000  6 Al 2.46-2.58
Zn  0.3478  0.1718  0.0000  4 Zn 2.43-2.65, 2 Al 2.54
Zn  0.8282  0.6522  0.0000  4 Zn 2.43-2.65, 2 Al 2.54
Zn  0.8285  0.1715  0.0000  4 Zn 2.43-2.62, 2 Al 2.54